Entry 1:
First-principles (GGA-PBEsol) data for a relaxed NaCa8SmTi10Si10O50 crystal, as listed in the Alexandria database.

a b c (Å): 5.4473 7.4427 24.0750
angles (deg): 81.94 87.57 72.41
With the nearest neighbours (Å) after each atom.
Space group P1 (No. 1)
One atom of each set of equivalent atoms:
Na (0.0000, 0.0000, 0.0000) x1  5 O 2.28-2.54
Ca (0.1793, 0.1628, 0.1662) x1  5 O 2.25-2.43
Ca (0.1987, 0.8019, 0.5983) x1  5 O 2.25-2.42
Ca (0.3780, 0.9648, 0.7665) x1  5 O 2.24-2.43
Ca (0.3996, 0.6000, 0.1989) x1  5 O 2.26-2.42
Ca (0.5770, 0.7645, 0.3670) x1  5 O 2.25-2.42
Ca (0.6019, 0.4006, 0.7967) x1  5 O 2.25-2.45
Ca (0.7999, 0.2007, 0.3982) x1  5 O 2.25-2.42
Ca (0.9779, 0.3647, 0.5664) x1  5 O 2.25-2.42
Sm (0.7761, 0.5659, 0.9685) x1  7 O 2.25-2.51
Ti (0.0946, 0.5847, 0.0829) x1  6 O 1.85-2.02
Ti (0.1880, 0.4831, 0.3826) x1  6 O 1.86-2.02
Ti (0.2873, 0.3837, 0.6823) x1  6 O 1.86-2.03
Ti (0.3924, 0.2690, 0.9849) x1  5 O 1.83-2.03
Ti (0.4879, 0.1823, 0.2829) x1  6 O 1.86-2.02
Ti (0.5878, 0.0839, 0.5823) x1  6 O 1.86-2.02
Ti (0.6928, 0.9871, 0.8822) x1  6 O 1.85-2.03
Ti (0.7877, 0.8832, 0.1826) x1  6 O 1.86-2.02
Ti (0.8885, 0.7833, 0.4826) x1  6 O 1.86-2.02
Ti (0.9871, 0.6853, 0.7819) x1  6 O 1.86-2.03
Si (0.0849, 0.9045, 0.2964) x1  4 O 1.64-1.65
Si (0.0920, 0.2657, 0.8692) x1  4 O 1.64-1.65
Si (0.2882, 0.7011, 0.8955) x1  4 O 1.64-1.65
Si (0.2918, 0.0607, 0.4687) x1  4 O 1.64-1.65
Si (0.4849, 0.5056, 0.4962) x1  4 O 1.64-1.65
Si (0.4947, 0.8545, 0.0689) x1  4 O 1.64-1.65
Si (0.6850, 0.3072, 0.0976) x1  4 O 1.64-1.65
Si (0.6913, 0.6612, 0.6683) x1  4 O 1.64-1.65
Si (0.8851, 0.1056, 0.6959) x1  4 O 1.64-1.65
Si (0.8923, 0.4593, 0.2689) x1  4 O 1.64-1.65
O (0.0366, 0.8874, 0.7239) x1  1 Si 1.64
O (0.0397, 0.7080, 0.1460) x1  2 Ti 1.85-1.87
O (0.0626, 0.2300, 0.7150) x1  1 Si 1.64
O (0.0775, 0.9077, 0.2280) x1  1 Si 1.65
O (0.0932, 0.2763, 0.9371) x1  1 Si 1.65
O (0.1134, 0.9363, 0.4502) x1  1 Si 1.64
O (0.1412, 0.4569, 0.0195) x1  2 Ti 1.88-1.90
O (0.1418, 0.2786, 0.4404) x1  1 Si 1.64
O (0.1833, 0.3770, 0.2432) x1  1 Si 1.65
O (0.1941, 0.5877, 0.5222) x1  1 Si 1.65
O (0.2352, 0.6865, 0.3248) x1  1 Si 1.64
O (0.2360, 0.5046, 0.7463) x1  2 Ti 1.86-1.87
O (0.2633, 0.0287, 0.3152) x1  1 Si 1.64
O (0.2823, 0.7046, 0.8271) x1  1 Si 1.64
O (0.2992, 0.0578, 0.5371) x1  1 Si 1.65
O (0.3226, 0.7275, 0.0498) x1  1 Si 1.64
O (0.3393, 0.2609, 0.6184) x1  2 Ti 1.86-1.87
O (0.3549, 0.0755, 0.0423) x1  1 Si 1.64
O (0.3833, 0.1815, 0.8437) x1  1 Si 1.65
O (0.3945, 0.3875, 0.1239) x1  1 Si 1.65
O (0.4364, 0.3035, 0.3469) x1  2 Ti 1.86-1.87
O (0.4441, 0.4868, 0.9260) x1  1 Si 1.65
O (0.4685, 0.8259, 0.9135) x1  1 Si 1.65
O (0.4774, 0.5083, 0.4278) x1  1 Si 1.65
O (0.5037, 0.8522, 0.1374) x1  1 Si 1.65
O (0.5123, 0.5368, 0.6501) x1  1 Si 1.64
O (0.5390, 0.0584, 0.2191) x1  2 Ti 1.86-1.87
O (0.5423, 0.8788, 0.6399) x1  1 Si 1.64
O (0.5829, 0.9787, 0.4429) x1  1 Si 1.65
O (0.5940, 0.1872, 0.7219) x1  1 Si 1.65
O (0.6342, 0.2878, 0.5247) x1  1 Si 1.64
O (0.6345, 0.1017, 0.9467) x1  2 Ti 1.83-1.85
O (0.6641, 0.6296, 0.5147) x1  1 Si 1.64
O (0.6693, 0.3201, 0.0289) x1  1 Si 1.65
O (0.6990, 0.6591, 0.7367) x1  1 Si 1.65
O (0.7126, 0.3350, 0.2509) x1  1 Si 1.64
O (0.7423, 0.8664, 0.8172) x1  2 Ti 1.86-1.88
O (0.7444, 0.6765, 0.2400) x1  1 Si 1.64
O (0.7821, 0.7649, 0.0419) x1  1 Si 1.65
O (0.7940, 0.9861, 0.3224) x1  1 Si 1.65
O (0.8299, 0.0885, 0.1258) x1  1 Si 1.64
O (0.8369, 0.9052, 0.5464) x1  2 Ti 1.86-1.87
O (0.8686, 0.4273, 0.1162) x1  1 Si 1.64
O (0.8771, 0.1093, 0.6275) x1  1 Si 1.65
O (0.8992, 0.4574, 0.3374) x1  1 Si 1.65
O (0.9174, 0.1368, 0.8516) x1  1 Si 1.65
O (0.9377, 0.4811, 0.8395) x1  1 Si 1.64
O (0.9402, 0.6612, 0.4185) x1  2 Ti 1.86-1.87
O (0.9823, 0.5785, 0.6425) x1  1 Si 1.65
O (0.9930, 0.7755, 0.9197) x1  1 Si 1.64

Computed properties:
Energy in eV per atom: -8.39
V in Å³/f.u.: 921



Entry 2:
First-principles (GGA-PBEsol) data for a relaxed NaCa2ZrSi2O9 crystal, as listed in the Alexandria database.

a b c (Å): 7.4389 10.3332 10.8510
angles (deg): 90.00 109.94 90.00
With the nearest neighbours (Å) after each atom.
Space group P2_1 (No. 4)
One atom of each set of equivalent atoms:
Na (0.0594, 0.0000, 0.3680) x2  5 O 2.30-2.49
Na (0.2064, 0.1591, 0.1231) x2  3 O 2.27-2.53
Ca (0.0603, 0.3771, 0.3553) x2  6 O 2.30-2.52
Ca (0.1948, 0.7804, 0.1552) x2  4 O 2.24-2.49
Ca (0.3265, 0.6588, 0.8711) x2  6 O 2.28-2.47
Ca (0.4509, 0.8931, 0.6521) x2  6 O 2.28-2.39
Zr (0.3039, 0.2890, 0.8450) x2  6 O 2.00-2.22
Zr (0.4374, 0.5230, 0.6260) x2  5 O 1.96-2.17
Si (0.0482, 0.7020, 0.4349) x2  4 O 1.61-1.67
Si (0.1196, 0.4622, 0.0589) x2  4 O 1.61-1.67
Si (0.3016, 0.9616, 0.9279) x2  4 O 1.61-1.66
Si (0.3786, 0.2057, 0.5732) x2  4 O 1.60-1.66
O (0.0034, 0.6812, 0.7675) x2  2 Na 2.27-2.33, 2 Ca 2.29-2.38
O (0.0273, 0.2233, 0.7256) x2  1 Si 1.65
O (0.1163, 0.9483, 0.9796) x2  2 Si 1.66-1.67
O (0.1440, 0.1825, 0.5199) x2  2 Si 1.66-1.67
O (0.1497, 0.8299, 0.5130) x2  1 Si 1.61
O (0.1527, 0.3464, 0.9650) x2  1 Si 1.64
O (0.1575, 0.6077, 0.0125) x2  1 Si 1.64
O (0.1606, 0.5656, 0.4794) x2  1 Si 1.63
O (0.2289, 0.4359, 0.2124) x2  1 Si 1.61
O (0.2483, 0.9196, 0.7769) x2  1 Si 1.61
O (0.2869, 0.4562, 0.7484) x2  2 Zr 2.00-2.12
O (0.2948, 0.9611, 0.2722) x2  1 Zr 2.02, 1 Ca 2.24
O (0.3801, 0.1090, 0.9622) x2  1 Si 1.63
O (0.3991, 0.3425, 0.5049) x2  1 Si 1.63
O (0.4388, 0.8469, 0.0172) x2  1 Si 1.65
O (0.4643, 0.0799, 0.5264) x2  1 Si 1.60
O (0.4635, 0.2150, 0.7330) x2  1 Si 1.63
O (0.4846, 0.6851, 0.7254) x2  1 Zr 1.96

Computed properties:
Energy in eV per atom: -7.72
V in Å³/f.u.: 196



Entry 3:
First-principles (GGA-PBEsol) data for a relaxed Na2Ca3Ta2O9 crystal, as listed in the Alexandria database.

a b c (Å): 5.6378 5.6378 24.2529
angles (deg): 90.00 90.00 120.00
With the nearest neighbours (Å) after each atom.
Space group R32 (No. 155, hexagonal axes)
One atom of each set of equivalent atoms:
Na (0.0000, 0.0000, 0.1980) x6  6 O 2.52-2.76
Ca (0.0000, 0.0000, 0.3716) x6  6 O 2.31-2.39
Ca (0.0000, 0.0000, 0.5000) x3  6 O 2.28
Ta (0.0000, 0.0000, 0.0638) x6  6 O 1.91-2.13
O (0.0000, 0.2590, 0.0000) x9  2 Ta 2.13, 2 Ca 2.31
O (0.0130, 0.4353, 0.7723) x18  1 Ta 1.91

Computed properties:
Energy in eV per atom: -7.85
V in Å³/f.u.: 223



Entry 4:
First-principles (GGA-PBEsol) data for a relaxed NaCa2Ta3O10 crystal, as listed in the Alexandria database.

a b c (Å): 3.9092 3.9092 29.1475
angles (deg): 90.00 90.00 90.00
With the nearest neighbours (Å) after each atom.
Space group I-4m2 (No. 119)
One atom of each set of equivalent atoms:
Na (0.0000, 0.0000, 0.0000) x2  4 O 2.34
Ca (0.0000, 0.5000, 0.1723) x4  4 O 2.47-2.49
Ta (0.0000, 0.5000, 0.6055) x4  5 O 1.79-2.00
Ta (0.0000, 0.5000, 0.7500) x2  6 O 1.95
O (0.0000, 0.0000, 0.1195) x4  2 Ta 2.00
O (0.0000, 0.0000, 0.2498) x4  2 Ta 1.95
O (0.0000, 0.0000, 0.3798) x4  2 Ta 2.00
O (0.0000, 0.5000, 0.5441) x4  1 Ta 1.79
O (0.0000, 0.5000, 0.6830) x4  1 Ta 1.95

Computed properties:
Energy in eV per atom: -8.87
V in Å³/f.u.: 223



Entry 5:
First-principles (GGA-PBEsol) data for a relaxed NaCaVO4 crystal, as listed in the Alexandria database.

a b c (Å): 5.9226 9.3017 7.0508
angles (deg): 90.00 90.00 90.00
With the nearest neighbours (Å) after each atom.
Space group Cmcm (No. 63)
One atom of each set of equivalent atoms:
Na (0.0000, 0.0000, 0.0000) x4  6 O 2.34-2.41
Ca (0.0000, 0.3228, 0.2500) x4  4 O 2.25-2.35
V (0.0000, 0.3546, 0.7500) x4  4 O 1.71-1.72
O (0.0000, 0.2480, 0.5532) x8  1 V 1.71
O (0.2271, 0.4696, 0.7500) x8  1 V 1.72

Computed properties:
Energy in eV per atom: -7.43
V in Å³/f.u.: 97



Entry 6:
First-principles (GGA-PBEsol) data for a relaxed NaCaOsW2 crystal, as listed in the Alexandria database.

a b c (Å): 4.6624 4.6624 4.6779
angles (deg): 90.00 90.00 90.00
With the nearest neighbours (Å) after each atom.
Space group P4/mmm (No. 123)
One atom of each set of equivalent atoms:
Na (0.0000, 0.0000, 0.0000) x1  4 Os 3.30, 8 W 3.30
Ca (0.5000, 0.5000, 0.5000) x1  4 W 2.33, 2 Os 2.34
Os (0.5000, 0.5000, 0.0000) x1  2 Ca 2.34
W (0.0000, 0.5000, 0.5000) x2  2 Ca 2.33

Computed properties:
Energy in eV per atom: -5.46
ΔH_f (0 K) in eV per atom: 3.2079
V in Å³/f.u.: 102